## w
First-principles (PBE) data for an optimized crystal structure of PrNd4Dy, as listed in Alexandria via LeMat-Bulk.

a b c (Å): 7.054 7.054 9.801
angles (deg): 90.00 90.00 119.55
Fractional positions:
Pr1 0.816 0.184 0.250
Pr2 0.184 0.816 0.750
Nd1 0.675 0.325 0.574
Nd2 0.198 0.360 0.750
Nd3 0.640 0.802 0.750
Nd4 0.325 0.675 0.074
Nd5 0.325 0.675 0.426
Nd6 0.802 0.640 0.250
Nd7 0.360 0.198 0.250
Nd8 0.675 0.325 0.926
Dy1 0.000 0.000 0.000
Dy2 0.000 0.000 0.500

## Properties
The calculation puts the volume at 424.2 Å³/cell. Its space group is Cmcm. As for the density of states at the Fermi level: 18.65 states/eV/cell.

## x
First-principles (PBE) data for an optimized crystal structure of PrNd4Dy, as listed in Alexandria via LeMat-Bulk.

a b c (Å): 6.725 6.725 6.725
angles (deg): 60.00 60.00 60.00
Fractional positions:
Nd1 0.626 0.626 0.626
Nd2 0.626 0.123 0.626
Nd3 0.626 0.626 0.123
Nd4 0.123 0.626 0.626
Pr1 0.250 0.250 0.250
Dy1 0.000 0.000 0.000

## Properties
The calculation puts the volume at 215.1 Å³/cell. Its space group is F-43m. As for the density of states at the Fermi level: 10.58 states/eV/cell.

w is favored, and the nearest alternative lies 31 meV per atom above it.